1.
{"formula": "ThSiTc", "functional": "GGA-PBE", "state": "optimized geometry", "e_above_lowest_polymorph_mev_per_atom": 732, "energy_ev_per_atom": -7.6373, "lattice": [[0.000, 3.221, 3.221], [3.221, 0.000, 3.221], [3.221, 3.221, 0.000]], "species": ["Si", "Tc", "Th"], "fractional_positions": [[0.000, 0.000, 0.000], [0.250, 0.250, 0.250], [0.750, 0.750, 0.750]]}

=====

2.
{"formula": "Y3Mg3Cd2Ir", "functional": "GGA-PBE", "state": "optimized geometry", "energy_ev_per_atom": -4.2276, "lattice": [[7.508, 0.000, 0.000], [-3.754, 6.502, 0.000], [0.000, 0.000, 4.440]], "species": ["Cd", "Cd", "Ir", "Mg", "Mg", "Mg", "Y", "Y", "Y"], "fractional_positions": [[0.667, 0.333, 0.500], [0.333, 0.667, 0.500], [0.000, 0.000, 0.000], [0.230, 0.000, 0.500], [0.000, 0.230, 0.500], [0.770, 0.770, 0.500], [0.613, 0.000, 0.000], [0.387, 0.387, 0.000], [0.000, 0.613, 0.000]]}